NaLaGdTl, relaxed, DFT PBE-GGA; spin magnetization = 7.98 Bohr magnetons per cell; formation enthalpy at 0 K = -112.0 meV/atom; crystal system = cubic; space group = F-43m, No. 216
1.0
-0.6484 -2.3216 5.0203
2.4396 -4.8721 1.1509
4.2856 -0.1981 3.5508
Na Tl Gd La
1 1 1 1
Cartesian
0.0000 0.0000 0.0000 Na
3.0384 -3.6959 4.8610 Tl
4.5576 -5.5438 7.2915 Gd
1.5192 -1.8479 2.4305 La